Compound: La2YMo
Source: the Alexandria database
Functional: GGA-PBE
Structure: relaxed

Geometry as CIF:
```
data_La2YMo
_chemical_formula_sum 'La2 Y1 Mo1'
_cell_length_a 5.370
_cell_length_b 5.370
_cell_length_c 5.370
_cell_angle_alpha 60.00
_cell_angle_beta 60.00
_cell_angle_gamma 60.00
_space_group_name_H-M_alt 'P 1'
_space_group_IT_number 1
_space_group_name_Hall 'P 1'
loop_
_atom_site_label
_atom_site_type_symbol
_atom_site_fract_x
_atom_site_fract_y
_atom_site_fract_z
Y1 Y 0.000 0.000 0.000
Mo1 Mo 0.500 0.500 0.500
La1 La 0.750 0.750 0.750
La2 La 0.250 0.250 0.250
```

Properties
Fermi-level density of states, states/eV/cell: 6.5
Uncorrected energy, eV/cell: -25.3
Formation energy from the elements, meV per atom: 452
Density, g/cm3: 7.0

Compound: MgGa2Sn2Au7
Source: the Alexandria database
Functional: GGA-PBE
Structure: relaxed

Geometry as CIF:
```
data_MgGa2Sn2Au7
_chemical_formula_sum 'Mg1 Ga2 Sn2 Au7'
_cell_length_a 4.168
_cell_length_b 4.168
_cell_length_c 14.194
_cell_angle_alpha 86.45
_cell_angle_beta 86.45
_cell_angle_gamma 86.23
_space_group_name_H-M_alt 'P 1'
_space_group_IT_number 1
_space_group_name_Hall 'P 1'
loop_
_atom_site_label
_atom_site_type_symbol
_atom_site_fract_x
_atom_site_fract_y
_atom_site_fract_z
Au1 Au 0.031 0.531 0.853
Au2 Au 0.531 0.031 0.853
Au3 Au 0.969 0.469 0.147
Au4 Au 0.469 0.969 0.147
Au5 Au 0.500 0.500 0.000
Au6 Au 0.319 0.319 0.443
Au7 Au 0.681 0.681 0.557
Ga1 Ga 0.555 0.555 0.735
Ga2 Ga 0.445 0.445 0.265
Sn1 Sn 0.108 0.108 0.629
Sn2 Sn 0.892 0.892 0.371
Mg1 Mg 0.000 0.000 0.000
```

Properties
Fermi-level density of states, states/eV/cell: 3.5
Uncorrected energy, eV/cell: -40.8
Formation energy from the elements, meV per atom: -185
Density, g/cm3: 12.1

Compound: Mg4CuAg
Source: the Alexandria database
Functional: GGA-PBE
Structure: relaxed

Geometry as CIF:
```
data_Mg4CuAg
_chemical_formula_sum 'Mg4 Cu1 Ag1'
_cell_length_a 5.562
_cell_length_b 5.562
_cell_length_c 5.562
_cell_angle_alpha 60.00
_cell_angle_beta 60.00
_cell_angle_gamma 60.00
_space_group_name_H-M_alt 'P 1'
_space_group_IT_number 1
_space_group_name_Hall 'P 1'
loop_
_atom_site_label
_atom_site_type_symbol
_atom_site_fract_x
_atom_site_fract_y
_atom_site_fract_z
Mg1 Mg 0.375 0.375 0.875
Mg2 Mg 0.375 0.875 0.375
Mg3 Mg 0.375 0.375 0.375
Mg4 Mg 0.875 0.375 0.375
Cu1 Cu 0.000 0.000 0.000
Ag1 Ag 0.750 0.750 0.750
```

Properties
Fermi-level density of states, states/eV/cell: 3.7
Uncorrected energy, eV/cell: -11.8
Formation energy from the elements, meV per atom: 261
Density, g/cm3: 3.7

Compound: Sm2Ho9Tm
Source: the Alexandria database
Functional: GGA-PBE
Structure: relaxed

Geometry as CIF:
```
data_Sm2Ho9Tm
_chemical_formula_sum 'Sm2 Ho9 Tm1'
_cell_length_a 5.004
_cell_length_b 5.004
_cell_length_c 15.008
_cell_angle_alpha 90.00
_cell_angle_beta 90.00
_cell_angle_gamma 90.00
_space_group_name_H-M_alt 'P 1'
_space_group_IT_number 1
_space_group_name_Hall 'P 1'
loop_
_atom_site_label
_atom_site_type_symbol
_atom_site_fract_x
_atom_site_fract_y
_atom_site_fract_z
Sm1 Sm 0.000 0.000 0.333
Sm2 Sm 0.000 0.000 0.667
Ho1 Ho 0.500 0.500 0.668
Ho2 Ho 0.500 0.000 0.500
Ho3 Ho 0.000 0.500 0.500
Ho4 Ho 0.500 0.000 0.835
Ho5 Ho 0.000 0.500 0.835
Ho6 Ho 0.000 0.500 0.165
Ho7 Ho 0.500 0.500 0.332
Ho8 Ho 0.500 0.000 0.165
Ho9 Ho 0.500 0.500 0.000
Tm1 Tm 0.000 0.000 0.000
```

Properties
Fermi-level density of states, states/eV/cell: 17.6
Uncorrected energy, eV/cell: -54.8
Formation energy from the elements, meV per atom: 23
Density, g/cm3: 8.6

Compound: PuBRuC
Source: the Alexandria database
Functional: GGA-PBE
Structure: relaxed

Geometry as CIF:
```
data_PuBRuC
_chemical_formula_sum 'Pu2 B2 Ru2 C2'
_cell_length_a 3.666
_cell_length_b 3.666
_cell_length_c 7.759
_cell_angle_alpha 90.00
_cell_angle_beta 90.00
_cell_angle_gamma 90.00
_space_group_name_H-M_alt 'P 1'
_space_group_IT_number 1
_space_group_name_Hall 'P 1'
loop_
_atom_site_label
_atom_site_type_symbol
_atom_site_fract_x
_atom_site_fract_y
_atom_site_fract_z
Pu1 Pu 0.500 0.000 0.167
Pu2 Pu 0.000 0.500 0.833
Ru1 Ru 0.500 0.500 0.500
Ru2 Ru 0.000 0.000 0.500
B1 B 0.500 0.000 0.669
B2 B 0.000 0.500 0.331
C1 C 0.000 0.500 0.132
C2 C 0.500 0.000 0.868
```

Properties
Fermi-level density of states, states/eV/cell: 14.6
Uncorrected energy, eV/cell: -80.9
Formation energy from the elements, meV per atom: -229
Density, g/cm3: 11.7

Compound: NaZr2TiBr
Source: the Alexandria database
Functional: GGA-PBE
Structure: relaxed

Geometry as CIF:
```
data_NaZr2TiBr
_chemical_formula_sum 'Na1 Zr2 Ti1 Br1'
_cell_length_a 5.192
_cell_length_b 5.192
_cell_length_c 4.798
_cell_angle_alpha 90.00
_cell_angle_beta 90.00
_cell_angle_gamma 90.00
_space_group_name_H-M_alt 'P 1'
_space_group_IT_number 1
_space_group_name_Hall 'P 1'
loop_
_atom_site_label
_atom_site_type_symbol
_atom_site_fract_x
_atom_site_fract_y
_atom_site_fract_z
Br1 Br 0.000 0.000 0.500
Ti1 Ti 0.500 0.500 0.500
Na1 Na 0.000 0.000 0.000
Zr1 Zr 0.500 0.000 0.000
Zr2 Zr 0.000 0.500 0.000
```

Properties
Fermi-level density of states, states/eV/cell: 7.5
Uncorrected energy, eV/cell: -20.9
Uncorrected formation energy, kJ/mol of formula units: 688
Density, g/cm3: 4.3